# 1
Here is an optimized crystal structure of CsPm2Br8 from the Alexandria database. Energies are from PBE.

Summary:
Space-group type: No. 12
Formation energy without anion corrections (eV per formula unit): -17.9
Polymorph energy (0 for the lowest one) (meV per atom): 58.4
Size of the total moment (μB per cell): 1.118
Calculated volume (Å³ per cell): 489.3

The structure in CIF format:
```
data_CsPm2Br8
_cell_length_a 7.563
_cell_length_b 7.563
_cell_length_c 9.107
_cell_angle_alpha 99.33
_cell_angle_beta 99.33
_cell_angle_gamma 73.60
_symmetry_space_group_name_H-M 'P 1'
_symmetry_Int_Tables_number 1
loop_
_symmetry_equiv_pos_as_xyz
'x,y,z'
loop_
_atom_site_label
_atom_site_fract_x
_atom_site_fract_y
_atom_site_fract_z
_atom_site_occupancy
Cs1 0.000 0.000 0.000 1
Pm1 0.323 0.323 0.537 1
Pm2 0.677 0.677 0.463 1
Br1 0.044 0.667 0.649 1
Br2 0.242 0.242 0.811 1
Br3 0.333 0.956 0.351 1
Br4 0.441 0.441 0.292 1
Br5 0.559 0.559 0.708 1
Br6 0.667 0.044 0.649 1
Br7 0.758 0.758 0.189 1
Br8 0.956 0.333 0.351 1
```


# 2
Here is an optimized crystal structure of Cu2TeCl from the Alexandria database. Energies are from PBE.

Summary:
Space-group type: No. 65
Formation energy without anion corrections (eV per formula unit): 0.2
Polymorph energy (0 for the lowest one) (meV per atom): 277.3
Size of the total moment (μB per cell): 0.000
Calculated volume (Å³ per cell): 84.9

The structure in CIF format:
```
data_Cu2TeCl
_cell_length_a 3.714
_cell_length_b 3.714
_cell_length_c 7.334
_cell_angle_alpha 90.00
_cell_angle_beta 90.00
_cell_angle_gamma 122.89
_symmetry_space_group_name_H-M 'P 1'
_symmetry_Int_Tables_number 1
loop_
_symmetry_equiv_pos_as_xyz
'x,y,z'
loop_
_atom_site_label
_atom_site_fract_x
_atom_site_fract_y
_atom_site_fract_z
_atom_site_occupancy
Cu1 0.000 0.000 0.239 1
Cu2 0.000 0.000 0.761 1
Te1 0.500 0.500 0.500 1
Cl1 0.500 0.500 0.000 1
```